Version i
This record from Alexandria describes an optimized crystal structure of Ta3ZnIr. The functional is PBE-GGA.

Results
M_tot, μB per atom: 0.00

abc: 4.855 4.855 4.855
angles: 90.00 90.00 90.00
Space group Pm-3m (No. 221)
Asymmetric unit:
Ta1 0.000 0.000 0.500
Zn1 0.500 0.500 0.500
Ir1 0.000 0.000 0.000



Version ii
This record from Alexandria describes an optimized crystal structure of Ta3ZnIr. The functional is PBE-GGA.

Results
M_tot, μB per atom: 0.00

abc: 4.600 4.600 4.600
angles: 90.00 90.00 90.00
Space group Pm-3m (No. 221)
Asymmetric unit:
Ta1 0.000 0.000 0.500
Zn1 0.000 0.000 0.000
Ir1 0.500 0.500 0.500



Which of them is most stable? Easy: version i.



Version i
This record from Alexandria describes an optimized crystal structure of Tb4Ir. The functional is PBE-GGA.

Results
M_tot, μB per atom: 0.00

abc: 5.454 5.454 5.454
angles: 90.00 90.00 90.00
Space group Pm-3m (No. 221)
Asymmetric unit:
Tb1 0.000 0.000 0.000
Tb2 0.000 0.500 0.500
Ir1 0.500 0.500 0.500



Version ii
This record from Alexandria describes an optimized crystal structure of Tb4Ir. The functional is PBE-GGA.

Results
M_tot, μB per atom: 0.10

abc: 8.644 8.644 8.043
angles: 90.00 90.00 90.00
Space group I-42d (No. 122)
Asymmetric unit:
Tb1 0.020 0.697 0.417
Ir1 0.000 0.000 0.500



Version iii
This record from Alexandria describes an optimized crystal structure of Tb4Ir. The functional is PBE-GGA.

Results
M_tot, μB per atom: 0.00

abc: 10.894 10.894 10.894
angles: 90.00 90.00 90.00
Space group Fd-3m (No. 227, origin choice 2)
Asymmetric unit:
Tb1 0.013 0.013 0.237
Ir1 0.125 0.125 0.625



Which of them is most stable? Easy: version ii.



Version i
This record from Alexandria describes an optimized crystal structure of Tb3Ir2. The functional is PBE-GGA.

Results
M_tot, μB per atom: 0.00

abc: 7.789 10.495 6.161
angles: 90.00 90.00 90.00
Space group Ibam (No. 72)
Asymmetric unit:
Tb1 0.000 0.000 0.250
Tb2 0.134 0.338 0.000
Ir1 0.227 0.404 0.500



Version ii
This record from Alexandria describes an optimized crystal structure of Tb3Ir2. The functional is PBE-GGA.

Results
M_tot, μB per atom: 0.00

abc: 3.972 12.973 9.679
angles: 90.00 90.00 90.00
Space group Cmcm (No. 63)
Asymmetric unit:
Tb1 0.000 0.100 0.250
Tb2 0.000 0.356 0.062
Ir1 0.000 0.000 0.000
Ir2 0.000 0.243 0.750



Version iii
This record from Alexandria describes an optimized crystal structure of Tb3Ir2. The functional is PBE-GGA.

Results
M_tot, μB per atom: 0.00

abc: 6.9418 6.9418 18.9574
angles: 90.00 90.00 120.00
Space group R-3c (No. 167, hexagonal axes)
Asymmetric unit:
Tb1 0.0000 0.3462 0.2500
Ir1 0.0000 0.0000 0.1719



Which of them is most stable? Easy: version ii.



Version i
This record from Alexandria describes an optimized crystal structure of Tb3TeIr. The functional is PBE-GGA.

Results
M_tot, μB per atom: 0.00

abc: 7.623 4.305 16.730
angles: 90.00 90.00 90.00
Space group Pnma (No. 62)
Asymmetric unit:
Tb1 0.016 0.250 0.090
Tb2 0.135 0.750 0.447
Tb3 0.179 0.250 0.706
Te1 0.122 0.250 0.299
Ir1 0.241 0.750 0.042



Version ii
This record from Alexandria describes an optimized crystal structure of Tb3TeIr. The functional is PBE-GGA.

Results
M_tot, μB per atom: 0.00

abc: 15.496 11.688 7.001
angles: 90.00 99.70 90.00
Space group C2/c (No. 15)
Asymmetric unit:
Tb1 0.097 0.066 0.462
Tb2 0.097 0.411 0.445
Tb3 0.098 0.250 0.959
Te1 0.246 0.093 0.824
Ir1 0.000 0.228 0.250
Ir2 0.000 0.414 0.750



Which of them is most stable? Easy: version i.



Version i
This record from Alexandria describes an optimized crystal structure of Tb2TeIr. The functional is PBE-GGA.

Results
M_tot, μB per atom: 0.00

abc: 4.157 5.917 8.715
angles: 90.00 90.00 90.00
Space group Pmmn (No. 59, origin choice 2)
Asymmetric unit:
Tb1 0.250 0.250 0.123
Tb2 0.250 0.250 0.693
Te1 0.250 0.750 0.594
Ir1 0.250 0.750 0.097



Version ii
This record from Alexandria describes an optimized crystal structure of Tb2TeIr. The functional is PBE-GGA.

Results
M_tot, μB per atom: 0.00

abc: 3.613 3.613 7.411
angles: 90.00 90.00 90.00
Space group P4/mmm (No. 123)
Asymmetric unit:
Tb1 0.000 0.000 0.222
Te1 0.500 0.500 0.500
Ir1 0.500 0.500 0.000



Which of them is most stable? Easy: version i.



Version i
This record from Alexandria describes an optimized crystal structure of Tb4Te3Ir. The functional is PBE-GGA.

Results
M_tot, μB per atom: 0.00

abc: 6.099 10.005 9.169
angles: 90.00 90.00 90.00
Space group Pmmn (No. 59, origin choice 2)
Asymmetric unit:
Tb1 0.250 0.035 0.191
Tb2 0.250 0.250 0.639
Tb3 0.250 0.750 0.650
Te1 0.250 0.005 0.849
Te2 0.250 0.750 0.314
Ir1 0.250 0.250 0.354



Version ii
This record from Alexandria describes an optimized crystal structure of Tb4Te3Ir. The functional is PBE-GGA.

Results
M_tot, μB per atom: 0.00

abc: 8.908 12.346 4.223
angles: 90.00 90.00 90.00
Space group Cmmm (No. 65)
Asymmetric unit:
Tb1 0.000 0.228 0.000
Tb2 0.209 0.000 0.500
Te1 0.000 0.500 0.000
Te2 0.250 0.250 0.500
Ir1 0.000 0.000 0.000



Which of them is most stable? Easy: version ii.



Version i
This record from Alexandria describes an optimized crystal structure of TbTh2Ir. The functional is PBE-GGA.

Results
M_tot, μB per atom: 0.00

abc: 3.8853 3.8853 30.8879
angles: 90.00 90.00 120.00
Space group R-3m (No. 166, hexagonal axes)
Asymmetric unit:
Tb1 0.0000 0.0000 0.0000
Th1 0.0000 0.0000 0.1112
Ir1 0.0000 0.0000 0.5000



Version ii
This record from Alexandria describes an optimized crystal structure of TbTh2Ir. The functional is PBE-GGA.

Results
M_tot, μB per atom: 0.00

abc: 3.9831 3.9831 27.1729
angles: 90.00 90.00 120.00
Space group R3m (No. 160, hexagonal axes)
Asymmetric unit:
Tb1 0.0000 0.0000 0.0000
Th1 0.0000 0.0000 0.5626
Th2 0.0000 0.0000 0.7717
Ir1 0.0000 0.0000 0.1667



Version iii
This record from Alexandria describes an optimized crystal structure of TbTh2Ir. The functional is PBE-GGA.

Results
M_tot, μB per atom: 0.00

abc: 3.843 10.048 6.176
angles: 90.00 108.04 90.00
Space group P2_1/m (No. 11)
Asymmetric unit:
Tb1 0.083 0.250 0.166
Th1 0.362 0.060 0.723
Ir1 0.211 0.750 0.423



Which of them is most stable? Easy: version iii.



Version i
This record from Alexandria describes an optimized crystal structure of Tb2ThIr. The functional is PBE-GGA.

Results
M_tot, μB per atom: 0.00

abc: 3.6526 3.6526 31.7909
angles: 90.00 90.00 120.00
Space group R-3m (No. 166, hexagonal axes)
Asymmetric unit:
Tb1 0.0000 0.0000 0.1110
Th1 0.0000 0.0000 0.0000
Ir1 0.0000 0.0000 0.5000



Version ii
This record from Alexandria describes an optimized crystal structure of Tb2ThIr. The functional is PBE-GGA.

Results
M_tot, μB per atom: 0.00

abc: 7.163 9.701 6.483
angles: 90.00 90.00 90.00
Space group Pnma (No. 62)
Asymmetric unit:
Tb1 0.177 0.065 0.167
Th1 0.039 0.250 0.654
Ir1 0.126 0.750 0.949



Which of them is most stable? Easy: version ii.